BeNiICl2: relaxed, GGA-PBE.

Computed properties:
size of the total moment: 0.574 μB per formula unit
raw formation energy: 20 kJ/mol of atoms
raw total energy: -2.74 eV per atom

a b c (Å): 4.332 4.332 6.091
angles (deg): 90.00 90.00 90.00
Space group P4/mmm (No. 123)
Asymmetric unit:
Be  0.000  0.000  0.000 x1
Ni  0.000  0.000  0.500 x1
I  0.500  0.500  0.000 x1
Cl  0.000  0.500  0.500 x2


ThRe3Si2: relaxed, GGA-PBE.

Computed properties:
size of the total moment: 0.000 μB per formula unit
raw formation energy: -3 kJ/mol of atoms
raw total energy: -9.30 eV per atom
distance to the lowest polymorph of the same formula: 392.1 meV per atom

a b c (Å): 4.179 7.789 12.840
angles (deg): 90.00 90.00 90.00
Space group Immm (No. 71)
Asymmetric unit:
Th  0.000  0.000  0.129 x4
Re  0.000  0.202  0.315 x8
Re  0.000  0.349  0.000 x4
Si  0.000  0.303  0.500 x4
Si  0.000  0.500  0.187 x4


CrCdIn: relaxed, GGA-PBE.

Computed properties:
size of the total moment: 3.585 μB per formula unit
raw total energy: -4.09 eV per atom
distance to the lowest polymorph of the same formula: 0.0 meV per atom

a b c (Å): 3.128 3.128 12.475
angles (deg): 90.00 90.00 90.00
Space group I4mm (No. 107)
Asymmetric unit:
Cr  0.000  0.000  0.000 x2
Cd  0.000  0.000  0.655 x2
In  0.000  0.000  0.349 x2


Na2HfZr2S6: relaxed, GGA-PBE.

Computed properties:
size of the total moment: 0.000 μB per formula unit
raw formation energy: -148 kJ/mol of atoms
raw total energy: -6.49 eV per atom

a b c (Å): 6.328 10.941 7.248
angles (deg): 90.00 107.07 90.00
Space group C2/m (No. 12)
Asymmetric unit:
Na  0.000  0.168  0.000 x4
Hf  0.000  0.000  0.500 x2
Zr  0.000  0.333  0.500 x4
S  0.239  0.164  0.720 x8
S  0.245  0.500  0.719 x4


CeSiO3: relaxed, GGA-PBE.

Computed properties:
size of the total moment: 1.368 μB per formula unit
raw formation energy: -263 kJ/mol of atoms
raw total energy: -7.97 eV per atom

a b c (Å): 11.765 6.740 11.590
angles (deg): 90.00 111.10 90.00
Space group C2/c (No. 15)
Asymmetric unit:
Ce  0.072  0.221  0.001 x8
Ce  0.250  0.250  0.500 x4
Si  0.000  0.348  0.250 x4
Si  0.132  0.044  0.759 x8
O  0.000  0.151  0.750 x4
O  0.045  0.459  0.383 x8
O  0.117  0.203  0.252 x8
O  0.150  0.105  0.632 x8
O  0.232  0.099  0.894 x8


KLiAgSn: relaxed, GGA-PBE.

Computed properties:
size of the total moment: 0.000 μB per formula unit
raw total energy: -2.52 eV per atom

a b c (Å): 7.314 7.314 7.314
angles (deg): 90.00 90.00 90.00
Space group F-43m (No. 216)
Asymmetric unit:
K  0.000  0.000  0.000 x4
Li  0.250  0.250  0.750 x4
Ag  0.250  0.250  0.250 x4
Sn  0.000  0.000  0.500 x4


TaNi15Ge4: relaxed, GGA-PBE.

Computed properties:
size of the total moment: 0.000 μB per formula unit
raw total energy: -6.16 eV per atom

a b c (Å): 3.603 3.603 17.937
angles (deg): 90.00 90.00 90.00
Space group P4/mmm (No. 123)
Asymmetric unit:
Ta  0.000  0.000  0.000 x1
Ni  0.000  0.500  0.102 x4
Ni  0.000  0.500  0.301 x4
Ni  0.000  0.500  0.500 x2
Ni  0.500  0.500  0.000 x1
Ni  0.500  0.500  0.202 x2
Ni  0.500  0.500  0.401 x2
Ge  0.000  0.000  0.205 x2
Ge  0.000  0.000  0.402 x2


NpUTe2: relaxed, GGA-PBE.

Computed properties:
size of the total moment: 8.434 μB per formula unit
raw formation energy: -48 kJ/mol of atoms
raw total energy: -8.12 eV per atom
distance to the lowest polymorph of the same formula: 0.0 meV per atom

a b c (Å): 7.500 7.500 7.500
angles (deg): 90.00 90.00 90.00
Space group Fm-3m (No. 225)
Asymmetric unit:
Np  0.000  0.000  0.000 x4
U  0.000  0.000  0.500 x4
Te  0.250  0.250  0.250 x8


Ho7Al2Co2: relaxed, GGA-PBE.

Computed properties:
size of the total moment: 0.000 μB per formula unit
raw total energy: -5.02 eV per atom

a b c (Å): 7.673 10.803 6.815
angles (deg): 90.00 90.00 90.00
Space group Cmmm (No. 65)
Asymmetric unit:
Ho  0.000  0.000  0.000 x2
Ho  0.000  0.500  0.243 x4
Ho  0.250  0.250  0.250 x8
Al  0.168  0.000  0.500 x4
Co  0.000  0.294  0.000 x4


RbLiSnO3: relaxed, GGA-PBE.

Computed properties:
size of the total moment: 0.000 μB per formula unit
raw formation energy: -164 kJ/mol of atoms
raw total energy: -5.32 eV per atom

a b c (Å): 7.641 3.336 7.780
angles (deg): 90.00 111.41 90.00
Space group P2_1/m (No. 11)
Asymmetric unit:
Rb  0.223  0.250  0.263 x2
Li  0.075  0.250  0.597 x2
Sn  0.322  0.750  0.849 x2
O  0.156  0.250  0.868 x2
O  0.187  0.750  0.570 x2
O  0.481  0.750  0.139 x2


KAl2Tc: relaxed, GGA-PBE.

Computed properties:
size of the total moment: 0.001 μB per formula unit
raw total energy: -4.28 eV per atom
distance to the lowest polymorph of the same formula: 378.6 meV per atom

a b c (Å): 2.843 2.843 9.690
angles (deg): 90.00 90.00 90.00
Space group P4mm (No. 99)
Asymmetric unit:
K  0.000  0.000  0.000 x1
Al  0.000  0.000  0.481 x1
Al  0.500  0.500  0.692 x1
Tc  0.500  0.500  0.299 x1


LaNi5H6: relaxed, GGA-PBE.

Computed properties:
size of the total moment: 0.000 μB per formula unit
raw total energy: -4.68 eV per atom
distance to the lowest polymorph of the same formula: 64.7 meV per atom

a b c (Å): 5.4245 5.4245 4.0941
angles (deg): 90.00 90.00 120.00
Space group P6mm (No. 183)
Asymmetric unit:
La  0.0000  0.0000  0.0000 x1
Ni  0.0000  0.5000  0.6271 x3
Ni  0.3333  0.6667  0.1176 x2
H  0.2045  0.4090  0.4140 x6


Ca2ZnMo: relaxed, GGA-PBE.

Computed properties:
size of the total moment: 0.000 μB per formula unit
raw total energy: -3.42 eV per atom

a b c (Å): 3.3025 3.3025 30.8180
angles (deg): 90.00 90.00 120.00
Space group R3m (No. 160, hexagonal axes)
Asymmetric unit:
Ca  0.0000  0.0000  0.0000 x3
Ca  0.0000  0.0000  0.2211 x3
Zn  0.0000  0.0000  0.7454 x3
Mo  0.0000  0.0000  0.4755 x3


AlCdAu2O6: relaxed, GGA-PBE.

Computed properties:
size of the total moment: 0.000 μB per formula unit
raw formation energy: -77 kJ/mol of atoms
raw total energy: -4.90 eV per atom

a b c (Å): 11.487 7.496 7.149
angles (deg): 90.00 112.27 90.00
Space group C2/c (No. 15)
Asymmetric unit:
Al  0.000  0.178  0.250 x4
Cd  0.000  0.237  0.750 x4
Au  0.199  0.457  0.584 x8
O  0.031  0.326  0.459 x8
O  0.115  0.011  0.265 x8
O  0.190  0.385  0.848 x8


PmNi7H12: relaxed, GGA-PBE.

Computed properties:
size of the total moment: 0.000 μB per formula unit
raw total energy: -4.31 eV per atom

a b c (Å): 7.7286 7.7286 8.7493
angles (deg): 90.00 90.00 120.00
Space group R-3 (No. 148, hexagonal axes)
Asymmetric unit:
Pm  0.0000  0.0000  0.0000 x3
Ni  0.0000  0.0000  0.5000 x3
Ni  0.0702  0.8385  0.7155 x18
H  0.0252  0.7354  0.8945 x18
H  0.0522  0.8601  0.3821 x18


PrDyZn: relaxed, GGA-PBE.

Computed properties:
size of the total moment: 0.000 μB per formula unit
raw total energy: -3.60 eV per atom
distance to the lowest polymorph of the same formula: 154.5 meV per atom

a b c (Å): 5.0251 5.0251 3.8421
angles (deg): 90.00 90.00 120.00
Space group P3m1 (No. 156)
Asymmetric unit:
Pr  0.0000  0.0000  0.0000 x1
Dy  0.3333  0.6667  0.5361 x1
Zn  0.6667  0.3333  0.3775 x1


Rb2Tl3Sn: relaxed, GGA-PBE.

Computed properties:
size of the total moment: 0.000 μB per formula unit
raw total energy: -2.30 eV per atom

a b c (Å): 12.988 5.344 9.092
angles (deg): 90.00 134.42 90.00
Space group Cm (No. 8)
Asymmetric unit:
Rb  0.000  0.000  0.000 x2
Rb  0.143  0.000  0.636 x2
Tl  0.237  0.500  0.398 x2
Tl  0.408  0.000  0.239 x2
Tl  0.422  0.000  0.599 x2
Sn  0.227  0.500  0.048 x2


ZnTcPCl2: relaxed, GGA-PBE.

Computed properties:
size of the total moment: 4.170 μB per formula unit
raw formation energy: 64 kJ/mol of atoms
raw total energy: -3.48 eV per atom
distance to the lowest polymorph of the same formula: 488.2 meV per atom

a b c (Å): 4.582 4.582 5.288
angles (deg): 90.00 90.00 90.00
Space group P4/mmm (No. 123)
Asymmetric unit:
Zn  0.000  0.000  0.000 x1
Tc  0.500  0.500  0.500 x1
P  0.000  0.000  0.500 x1
Cl  0.000  0.500  0.000 x2


La2PmHo2Tm: relaxed, GGA-PBE.

Computed properties:
size of the total moment: 0.000 μB per formula unit
raw total energy: -4.63 eV per atom

a b c (Å): 7.065 5.708 9.953
angles (deg): 90.00 90.00 90.00
Space group Pmma (No. 51)
Asymmetric unit:
La  0.000  0.000  0.000 x2
La  0.250  0.500  0.170 x2
Pm  0.000  0.500  0.500 x2
Ho  0.250  0.000  0.335 x2
Ho  0.250  0.500  0.832 x2
Tm  0.250  0.000  0.662 x2


RePdW3: relaxed, GGA-PBE.

Computed properties:
size of the total moment: 0.000 μB per formula unit
raw total energy: -9.33 eV per atom

a b c (Å): 4.722 4.722 4.722
angles (deg): 90.00 90.00 90.00
Space group Pm-3m (No. 221)
Asymmetric unit:
Re  0.000  0.000  0.000 x1
Pd  0.500  0.500  0.500 x1
W  0.000  0.000  0.500 x3